No. 1
Crystalline YSc2Fe at its relaxed geometry, computed with PBE.

abc: 11.359 3.367 5.009
angles: 90.00 116.14 90.00
Space group Cm (No. 8)
Symmetry-distinct sites (fractional):
Y: 0.000 0.000 0.000
Sc: 0.110 0.500 0.610
Sc: 0.300 0.500 0.300
Fe: 0.292 0.000 0.788

- formation energy from the elements (eV/atom) = 0.042
- energy above the most stable polymorph in this dataset (meV/atom) = 90
- energy (eV/atom) = -6.855

No. 2
Crystalline CsSc2W at its relaxed geometry, computed with PBE.

abc: 7.242 7.242 7.242
angles: 90.00 90.00 90.00
Space group Fm-3m (No. 225)
Symmetry-distinct sites (fractional):
Cs: 0.000 0.000 0.000
Sc: 0.250 0.250 0.250
W: 0.000 0.000 0.500

- formation energy from the elements (eV/atom) = 1.245
- energy above the most stable polymorph in this dataset (meV/atom) = 537
- energy (eV/atom) = -5.372

No. 3
Crystalline LaSnSb at its relaxed geometry, computed with PBE.

abc: 4.621 17.074 4.461
angles: 90.00 90.00 90.00
Space group Cmcm (No. 63)
Symmetry-distinct sites (fractional):
La: 0.000 0.099 0.250
Sn: 0.000 0.251 0.750
Sb: 0.000 0.431 0.250

- energy above the most stable polymorph in this dataset (meV/atom) = 0
- energy (eV/atom) = -5.129

No. 4
Crystalline Cs3ScF6 at its relaxed geometry, computed with PBE.

abc: 6.801 6.801 9.909
angles: 90.00 90.00 90.00
Space group P4/mnc (No. 128)
Symmetry-distinct sites (fractional):
Cs: 0.000 0.000 0.000
Cs: 0.000 0.500 0.250
Sc: 0.000 0.000 0.500
F: 0.000 0.000 0.293
F: 0.138 0.268 0.500

- energy (eV/atom) = -5.310

No. 5
Crystalline Sm6ScTl at its relaxed geometry, computed with PBE.

abc: 4.946 4.946 10.079
angles: 90.00 90.00 90.00
Space group P4/mmm (No. 123)
Symmetry-distinct sites (fractional):
Sm: 0.000 0.000 0.000
Sm: 0.000 0.000 0.500
Sm: 0.000 0.500 0.250
Sc: 0.500 0.500 0.000
Tl: 0.500 0.500 0.500

- formation energy from the elements (eV/atom) = -0.075
- energy (eV/atom) = -4.701

No. 6
Crystalline Na2TiCu2 at its relaxed geometry, computed with PBE.

abc: 6.452 6.452 4.917
angles: 90.00 90.00 90.00
Space group P4/mbm (No. 127)
Symmetry-distinct sites (fractional):
Na: 0.173 0.327 0.000
Ti: 0.000 0.000 0.500
Cu: 0.129 0.629 0.500

- formation energy from the elements (eV/atom) = 0.461
- energy above the most stable polymorph in this dataset (meV/atom) = 0
- energy (eV/atom) = -3.284

No. 7
Crystalline PmMg2AlCu2 at its relaxed geometry, computed with PBE.

abc: 4.958 4.958 10.630
angles: 90.00 90.00 90.00
Space group I4/mmm (No. 139)
Symmetry-distinct sites (fractional):
Pm: 0.000 0.000 0.000
Mg: 0.000 0.500 0.250
Al: 0.000 0.000 0.500
Cu: 0.000 0.000 0.282

- formation energy from the elements (eV/atom) = 0.035
- energy (eV/atom) = -3.278

No. 8
Crystalline Zr2Zn2Pt at its relaxed geometry, computed with PBE.

abc: 3.982 3.982 12.057
angles: 90.00 90.00 90.00
Space group I4/mmm (No. 139)
Symmetry-distinct sites (fractional):
Zr: 0.000 0.500 0.250
Zn: 0.000 0.000 0.092
Pt: 0.000 0.000 0.500

- formation energy from the elements (eV/atom) = 0.159
- energy above the most stable polymorph in this dataset (meV/atom) = 678
- energy (eV/atom) = -4.978

No. 9
Crystalline Ce2NpCr2C4 at its relaxed geometry, computed with PBE.

abc: 13.223 3.361 5.929
angles: 90.00 109.71 90.00
Space group C2/m (No. 12)
Symmetry-distinct sites (fractional):
Ce: 0.130 0.000 0.023
Np: 0.000 0.000 0.500
Cr: 0.182 0.500 0.502
C: 0.042 0.500 0.259
C: 0.224 0.000 0.702

- formation energy from the elements (eV/atom) = -0.064
- energy (eV/atom) = -9.059